[1]
A geometry-optimized Dy6HoEr8 structure. Source: Alexandria, functional PBE.

Results
Its total moment is 0.000 μB/f.u. The density of states at the Fermi level is 67.3 states/eV/cell. The value obtained for the formation energy from the elements is 0.13 eV/atom.

Cell lengths 8.9404, 8.9404, 20.3820 Å; angles 90.00, 90.00, 120.00 degrees
Last column: nearest neighbours and their distance in Å.
Space group R-3 (No. 148, hexagonal axes)
Unique sites:
Dy 0.0671 0.2485 0.2080 (multiplicity 18)  4 Er 3.34-3.69, 1 Ho 3.38, 4 Dy 3.45-3.69
Ho 0.0000 0.0000 0.5000 (multiplicity 3)  6 Dy 3.38, 6 Er 3.49
Er 0.0000 0.0000 0.0765 (multiplicity 6)  4 Er 3.12-3.38, 3 Dy 3.34
Er 0.0815 0.5515 0.3086 (multiplicity 18)  3 Dy 3.35-3.69, 5 Er 3.37-3.38, 1 Ho 3.49



[2]
A geometry-optimized Dy4Ho6Er structure. Source: Alexandria, functional PBE.

Results
Its total moment is 0.000 μB/f.u. The density of states at the Fermi level is 77.5 states/eV/cell. The value obtained for the formation energy from the elements is 0.13 eV/atom.

Cell lengths 5.6416, 9.5513, 25.4282 Å; angles 90.00, 90.00, 90.00 degrees
Last column: nearest neighbours and their distance in Å.
Space group Cmcm (No. 63)
Unique sites:
Dy 0.0000 0.0267 0.1214 (multiplicity 8)  5 Ho 3.10-3.27
Dy 0.0000 0.3424 0.0428 (multiplicity 8)  8 Ho 3.38-3.77, 2 Dy 3.62-3.71
Ho 0.0000 0.0000 0.0000 (multiplicity 4)  8 Dy 3.10-3.45
Ho 0.0000 0.0213 0.2500 (multiplicity 4)  3 Er 3.19-3.23, 2 Dy 3.27
Ho 0.0000 0.3114 0.6050 (multiplicity 8)  5 Dy 3.24-3.55
Ho 0.0000 0.3558 0.1820 (multiplicity 8)  7 Ho 3.46-3.79, 4 Dy 3.50-3.60, 3 Er 3.60-3.68
Er 0.0000 0.3131 0.7500 (multiplicity 4)  3 Ho 3.19-3.23



[3]
A geometry-optimized Dy4HoEr6 structure. Source: Alexandria, functional PBE.

Results
Its total moment is 0.000 μB/f.u. The density of states at the Fermi level is 27.1 states/eV/cell. The value obtained for the formation energy from the elements is 0.46 eV/atom.

Cell lengths 7.5072, 7.5072, 13.0262 Å; angles 90.00, 90.00, 90.00 degrees
Last column: nearest neighbours and their distance in Å.
Space group I-42m (No. 121)
Unique sites:
Dy 0.1684 0.1684 0.4226 (multiplicity 8)  3 Er 2.97-3.19, 2 Dy 3.23
Ho 0.0000 0.0000 0.0000 (multiplicity 2)  8 Er 3.50-3.75, 4 Dy 3.66
Er 0.0000 0.5000 0.0000 (multiplicity 4)  4 Dy 2.97
Er 0.2393 0.2393 0.1844 (multiplicity 8)  2 Dy 3.19-3.55, 1 Ho 3.50



[4]
A geometry-optimized Dy3Ho4Er8 structure. Source: Alexandria, functional PBE.

Results
Its total moment is 0.004 μB/f.u. The density of states at the Fermi level is 58.2 states/eV/cell. The value obtained for the formation energy from the elements is 0.41 eV/atom.

Cell lengths 13.1970, 12.7318, 6.6451 Å; angles 90.00, 120.23, 90.00 degrees
Last column: nearest neighbours and their distance in Å.
Space group C2/m (No. 12)
Unique sites:
Dy 0.0000 0.0000 0.0000 (multiplicity 2)  6 Er 3.16-3.18
Dy 0.2500 0.2500 0.5000 (multiplicity 4)  4 Er 3.19-3.30, 2 Ho 3.32
Ho 0.0000 0.5000 0.0000 (multiplicity 2)  6 Er 3.21-3.43, 2 Ho 3.32
Ho 0.0000 0.5000 0.5000 (multiplicity 2)  2 Ho 3.32, 4 Er 3.49
Ho 0.2500 0.2500 0.0000 (multiplicity 4)  4 Er 3.19-3.30, 2 Dy 3.32
Er 0.0000 0.1397 0.5000 (multiplicity 4)  7 Er 3.56-3.60, 4 Dy 3.59-3.77, 2 Ho 3.59
Er 0.0000 0.2482 0.0000 (multiplicity 4)  3 Dy 3.16-3.30, 3 Ho 3.21-3.30
Er 0.2337 0.0000 0.4938 (multiplicity 4)  3 Dy 3.18-3.19, 2 Er 3.19-3.46, 2 Ho 3.43-3.49
Er 0.2342 0.0000 0.9737 (multiplicity 4)  1 Dy 3.18, 2 Er 3.19-3.46, 4 Ho 3.19-3.49



[5]
A geometry-optimized Dy2HoEr6 structure. Source: Alexandria, functional PBE.

Results
Its total moment is 0.000 μB/f.u. The density of states at the Fermi level is 25.4 states/eV/cell. The value obtained for the formation energy from the elements is 0.00 eV/atom.

Cell lengths 17.0551, 3.5436, 11.7607 Å; angles 90.00, 129.15, 90.00 degrees
Last column: nearest neighbours and their distance in Å.
Space group C2/m (No. 12)
Unique sites:
Dy 0.2039 0.0000 0.0742 (multiplicity 4)  4 Dy 3.48-3.54, 6 Er 3.48-3.55, 2 Ho 3.49
Ho 0.0000 0.5000 0.0000 (multiplicity 2)  4 Dy 3.49, 6 Er 3.49-3.54, 2 Ho 3.54
Er 0.0367 0.5000 0.7397 (multiplicity 4)  8 Er 3.48-3.54, 3 Dy 3.48-3.55, 1 Ho 3.49
Er 0.1288 0.0000 0.5918 (multiplicity 4)  10 Er 3.46-3.54, 2 Dy 3.54
Er 0.1669 0.0000 0.3339 (multiplicity 4)  9 Er 3.48-3.54, 1 Dy 3.49, 2 Ho 3.54



[6]
A geometry-optimized Dy4Ho6Er structure. Source: Alexandria, functional PBE.

Results
Its total moment is 0.000 μB/f.u. The density of states at the Fermi level is 25.4 states/eV/cell. The value obtained for the formation energy from the elements is 0.45 eV/atom.

Cell lengths 7.4811, 7.4811, 13.1395 Å; angles 90.00, 90.00, 90.00 degrees
Last column: nearest neighbours and their distance in Å.
Space group I-42m (No. 121)
Unique sites:
Dy 0.1676 0.1676 0.4219 (multiplicity 8)  3 Ho 2.97-3.19, 2 Dy 3.24
Ho 0.0000 0.5000 0.0000 (multiplicity 4)  4 Dy 2.97
Ho 0.2359 0.2359 0.1852 (multiplicity 8)  1 Dy 3.19, 1 Er 3.49
Er 0.0000 0.0000 0.0000 (multiplicity 2)  8 Ho 3.49-3.74, 4 Dy 3.66



Question: The highest total moment belongs to which entry?
Answer: Dy3Ho4Er8